No. 1
A plane-wave DFT calculation with PBE-GGA was carried out for crystalline Dy4Tm3Pu at its relaxed geometry.

## Properties
Crystal system ... orthorhombic
Space group ... Immm, No. 71
M_tot ... 6.1 μB/f.u.
DFT formation energy ... 0.153 eV/atom
Fermi-level density of states ... 17.56 states/eV per cell

Cell lengths 3.399, 11.441, 8.690 Å; angles 131.17, 101.28, 90.00 degrees
Atoms (fractional coordinates):
Tm 0.000 0.500 0.000
Tm 0.763 0.763 0.526
Tm 0.237 0.237 0.474
Pu 0.500 0.000 0.000
Dy 0.632 0.380 0.263
Dy 0.368 0.620 0.737
Dy 0.368 0.117 0.737
Dy 0.632 0.883 0.263


No. 2
A plane-wave DFT calculation with PBE-GGA was carried out for crystalline Dy3Tm2Pu at its relaxed geometry.

## Properties
Crystal system ... orthorhombic
Space group ... Ibam, No. 72
M_tot ... 5.8 μB/f.u.
DFT formation energy ... 0.617 eV/atom
Fermi-level density of states ... 23.27 states/eV per cell

Cell lengths 11.277, 8.791, 8.791 Å; angles 41.45, 50.11, 50.11 degrees
Atoms (fractional coordinates):
Dy 0.500 0.250 0.750
Dy 0.500 0.750 0.250
Dy 0.233 0.017 0.517
Dy 0.767 0.483 0.983
Dy 0.767 0.983 0.483
Dy 0.233 0.517 0.017
Tm 0.846 0.400 0.400
Tm 0.646 0.100 0.100
Tm 0.354 0.900 0.900
Tm 0.154 0.600 0.600
Pu 0.000 0.500 0.500
Pu 0.000 0.000 0.000


Please write out number 2 again, unchanged.
A plane-wave DFT calculation with PBE-GGA was carried out for crystalline Dy3Tm2Pu at its relaxed geometry.

## Properties
Crystal system ... orthorhombic
Space group ... Ibam, No. 72
M_tot ... 5.8 μB/f.u.
DFT formation energy ... 0.617 eV/atom
Fermi-level density of states ... 23.27 states/eV per cell

Cell lengths 11.277, 8.791, 8.791 Å; angles 41.45, 50.11, 50.11 degrees
Atoms (fractional coordinates):
Dy 0.500 0.250 0.750
Dy 0.500 0.750 0.250
Dy 0.233 0.017 0.517
Dy 0.767 0.483 0.983
Dy 0.767 0.983 0.483
Dy 0.233 0.517 0.017
Tm 0.846 0.400 0.400
Tm 0.646 0.100 0.100
Tm 0.354 0.900 0.900
Tm 0.154 0.600 0.600
Pu 0.000 0.500 0.500
Pu 0.000 0.000 0.000